This record from Alexandria via LeMat-Bulk describes a geometry-optimized CrGePtO6 structure. The functional is PBE+U. Values from VASP.

Cell and atoms, written as Quantum ESPRESSO input:
```
&SYSTEM
  ibrav = 0, nat = 18, ntyp = 4
/
ATOMIC_SPECIES
Cr 52.00 Cr.upf
Ge 72.64 Ge.upf
Pt 195.08 Pt.upf
O 16.00 O.upf
CELL_PARAMETERS angstrom
4.538 0.000 0.000
0.000 4.538 0.000
0.000 0.000 9.146
ATOMIC_POSITIONS crystal
Cr 0.000 0.000 0.000
Cr 0.500 0.500 0.500
Ge 0.000 0.000 0.333
Ge 0.500 0.500 0.833
Pt 0.000 0.000 0.666
Pt 0.500 0.500 0.166
O 0.189 0.189 0.170
O 0.191 0.191 0.493
O 0.199 0.199 0.836
O 0.301 0.699 0.336
O 0.309 0.691 0.993
O 0.311 0.689 0.670
O 0.689 0.311 0.670
O 0.691 0.309 0.993
O 0.699 0.301 0.336
O 0.801 0.801 0.836
O 0.809 0.809 0.493
O 0.811 0.811 0.170
```

Calculated values
Energy = -0.4821 Ry/atom
Space group = P4_2nm